# NpSeIF | Alexandria | PBE-GGA | optimized geometry
data_NpSeIF
_chemical_formula_sum 'Np2 Se2 I2 F2'
_cell_length_a 7.073
_cell_length_b 4.083
_cell_length_c 8.192
_cell_angle_alpha 90.00
_cell_angle_beta 106.82
_cell_angle_gamma 90.00
_space_group_name_H-M_alt 'C 1 m 1'
_space_group_IT_number 8
loop_
_space_group_symop_operation_xyz
'x,y,z'
'x,-y,z'
'x+1/2,y+1/2,z'
'x+1/2,-y+1/2,z'
loop_
_atom_site_label
_atom_site_fract_x
_atom_site_fract_y
_atom_site_fract_z
Np1 0.000 0.000 0.000
Se1 0.406 0.000 0.216
I1 0.233 0.000 0.699
F1 0.155 0.500 0.965
# Raw formation energy ... -6.7 eV/f.u.

# NpTl2I2F4 | Alexandria | PBE-GGA | optimized geometry
data_NpTl2I2F4
_chemical_formula_sum 'Np2 Tl4 I4 F8'
_cell_length_a 7.107
_cell_length_b 7.107
_cell_length_c 10.940
_cell_angle_alpha 90.00
_cell_angle_beta 90.00
_cell_angle_gamma 90.00
_space_group_name_H-M_alt 'I 4/m m m'
_space_group_IT_number 139
_space_group_name_Hall '-I 4 2'
loop_
_atom_site_label
_atom_site_fract_x
_atom_site_fract_y
_atom_site_fract_z
Np1 0.000 0.000 0.000
Tl1 0.000 0.500 0.250
I1 0.000 0.000 0.287
F1 0.209 0.209 0.000
# Raw formation energy ... -18.7 eV/f.u.

What is the raw formation energy in the second record? -18.7 eV/f.u.

What is the raw formation energy in the first record? -6.7 eV/f.u.

Which value of raw formation energy does entry 2 give? -18.7 eV/f.u.